Density functional theory data (SCAN) for a crystal of Mg3Cu relaxed with PBEsol.

Results
Theoretical density, g/cm3: 3.0
Uncorrected energy, Ry/atom: -0.5607
DOS at the Fermi energy, states/eV/f.u.: 1.347

Lattice parameters (Å, degrees): 5.2199 7.1988 8.1501 90.00 90.00 90.00
Closest atoms and distances in Å follow each position.
Sites, in units of the cell vectors:
Cu 0.5766 0.1264 0.7500  8 Mg 2.64-2.75
Cu 0.0766 0.3736 0.2500  8 Mg 2.64-2.75
Cu 0.9234 0.6264 0.7500  8 Mg 2.64-2.75
Cu 0.4234 0.8736 0.2500  8 Mg 2.64-2.75
Mg 0.8941 0.0278 0.2500  3 Cu 2.67-2.98
Mg 0.3756 0.1712 0.0588  3 Cu 2.64-2.75, 1 Mg 2.95
Mg 0.3756 0.1712 0.4412  3 Cu 2.64-2.75, 1 Mg 2.95
Mg 0.8756 0.3288 0.5588  3 Cu 2.64-2.75, 1 Mg 2.95
Mg 0.8756 0.3288 0.9412  3 Cu 2.64-2.75, 1 Mg 2.95
Mg 0.3941 0.4722 0.7500  3 Cu 2.67-2.98
Mg 0.6059 0.5278 0.2500  3 Cu 2.67-2.98
Mg 0.1244 0.6712 0.0588  3 Cu 2.64-2.75, 1 Mg 2.95
Mg 0.1244 0.6712 0.4412  3 Cu 2.64-2.75, 1 Mg 2.95
Mg 0.6244 0.8288 0.5588  3 Cu 2.64-2.75, 1 Mg 2.95
Mg 0.6244 0.8288 0.9412  3 Cu 2.64-2.75, 1 Mg 2.95
Mg 0.1059 0.9722 0.7500  3 Cu 2.67-2.98

Density functional theory data (SCAN) for a crystal of Mg3Cu relaxed with PBEsol.

Results
Theoretical density, g/cm3: 3.1
Uncorrected energy, Ry/atom: -0.5582
DOS at the Fermi energy, states/eV/f.u.: 1.137

Lattice parameters (Å, degrees): 3.1451 3.1451 7.4950 90.00 90.00 90.00
Closest atoms and distances in Å follow each position.
Sites, in units of the cell vectors:
Mg 0.0000 0.0000 0.5000  12 Mg 3.15
Mg 0.5000 0.5000 0.2031  4 Cu 2.70
Mg 0.5000 0.5000 0.7969  4 Cu 2.70
Cu 0.0000 0.0000 0.0000  8 Mg 2.70

Density functional theory data (SCAN) for a crystal of Mg4Cu3 relaxed with PBEsol.

Results
Theoretical density, g/cm3: 4.3
Uncorrected energy, Ry/atom: -0.6932
DOS at the Fermi energy, states/eV/f.u.: 2.807

Lattice parameters (Å, degrees): 4.9893 4.9893 5.2149 90.00 90.00 120.00
Closest atoms and distances in Å follow each position.
Sites, in units of the cell vectors:
Cu 0.0000 0.5000 0.0000  4 Cu 2.49
Cu 0.5000 0.0000 0.0000  4 Cu 2.49
Cu 0.5000 0.5000 0.0000  4 Cu 2.49
Mg 0.0000 0.0000 0.7545  2 Mg 2.56-2.65, 6 Cu 2.80
Mg 0.0000 0.0000 0.2455  2 Mg 2.56-2.65, 6 Cu 2.80
Mg 0.3333 0.6667 0.5000  9 Mg 2.88-3.17, 6 Cu 2.98
Mg 0.6667 0.3333 0.5000  9 Mg 2.88-3.17, 6 Cu 2.98

Density functional theory data (SCAN) for a crystal of Mg2Cu relaxed with PBEsol.

Results
Theoretical density, g/cm3: 3.6
Uncorrected energy, Ry/atom: -0.6252
DOS at the Fermi energy, states/eV/f.u.: 1.138

Lattice parameters (Å, degrees): 8.3654 8.3654 8.3654 60.00 60.00 60.00
Closest atoms and distances in Å follow each position.
Sites, in units of the cell vectors:
Cu 0.2492 0.9169 0.9169  6 Mg 2.56-2.81, 3 Cu 2.78
Cu 0.9169 0.9169 0.9169  6 Mg 2.56-2.81, 3 Cu 2.78
Cu 0.9169 0.2492 0.9169  6 Mg 2.56-2.81, 3 Cu 2.78
Cu 0.9169 0.9169 0.2492  6 Mg 2.56-2.81, 3 Cu 2.78
Cu 0.0008 0.3331 0.3331  6 Mg 2.56-2.81, 3 Cu 2.78
Cu 0.3331 0.3331 0.3331  6 Mg 2.56-2.81, 3 Cu 2.78
Cu 0.3331 0.0008 0.3331  6 Mg 2.56-2.81, 3 Cu 2.78
Cu 0.3331 0.3331 0.0008  6 Mg 2.56-2.81, 3 Cu 2.78
Mg 0.1250 0.1250 0.6250  6 Cu 2.56
Mg 0.1250 0.6250 0.1250  6 Cu 2.56
Mg 0.1250 0.1250 0.1250  6 Cu 2.56
Mg 0.6250 0.1250 0.1250  6 Cu 2.56
Mg 0.3075 0.6925 0.6925  4 Cu 2.81-3.00, 6 Mg 3.01-3.11
Mg 0.3075 0.3075 0.6925  4 Cu 2.81-3.00, 6 Mg 3.01-3.11
Mg 0.3075 0.6925 0.3075  4 Cu 2.81-3.00, 6 Mg 3.01-3.11
Mg 0.6925 0.3075 0.6925  4 Cu 2.81-3.00, 6 Mg 3.01-3.11
Mg 0.6925 0.6925 0.3075  4 Cu 2.81-3.00, 6 Mg 3.01-3.11
Mg 0.6925 0.3075 0.3075  4 Cu 2.81-3.00, 6 Mg 3.01-3.11
Mg 0.9425 0.5575 0.5575  4 Cu 2.81-3.00, 6 Mg 3.01-3.11
Mg 0.9425 0.9425 0.5575  4 Cu 2.81-3.00, 6 Mg 3.01-3.11
Mg 0.9425 0.5575 0.9425  4 Cu 2.81-3.00, 6 Mg 3.01-3.11
Mg 0.5575 0.9425 0.5575  4 Cu 2.81-3.00, 6 Mg 3.01-3.11
Mg 0.5575 0.5575 0.9425  4 Cu 2.81-3.00, 6 Mg 3.01-3.11
Mg 0.5575 0.9425 0.9425  4 Cu 2.81-3.00, 6 Mg 3.01-3.11

Density functional theory data (SCAN) for a crystal of MgCu relaxed with PBEsol.

Results
Theoretical density, g/cm3: 4.8
Uncorrected energy, Ry/atom: -0.7465
DOS at the Fermi energy, states/eV/f.u.: 0.605

Lattice parameters (Å, degrees): 3.1204 5.1831 6.2096 107.29 90.00 107.52
Closest atoms and distances in Å follow each position.
Sites, in units of the cell vectors:
Cu 0.0140 0.0281 0.0371  4 Cu 2.46-2.51, 2 Mg 2.72
Cu 0.3841 0.7681 0.2083  2 Cu 2.46, 4 Mg 2.62-2.64
Cu 0.3605 0.7209 0.7464  3 Cu 2.51-2.80, 4 Mg 2.63-2.64
Mg 0.7003 0.4005 0.3745  7 Cu 2.79-2.97, 6 Mg 2.86-3.12
Mg 0.0047 0.0093 0.5542  4 Cu 2.62-2.64, 3 Mg 2.86-2.92
Mg 0.7032 0.4064 0.9129  7 Cu 2.63-2.93, 3 Mg 2.88-2.92

Density functional theory data (SCAN) for a crystal of Mg2Cu relaxed with PBEsol.

Results
Theoretical density, g/cm3: 3.7
Uncorrected energy, Ry/atom: -0.6189
DOS at the Fermi energy, states/eV/f.u.: 0.822

Lattice parameters (Å, degrees): 3.3310 4.5461 7.0937 108.69 90.00 90.00
Closest atoms and distances in Å follow each position.
Sites, in units of the cell vectors:
Cu 0.0000 0.3409 0.6818  8 Mg 2.71-2.83
Cu 0.0000 0.6591 0.3182  8 Mg 2.71-2.83
Mg 0.0000 0.0000 0.0000  8 Mg 2.82-2.94, 4 Cu 3.12
Mg 0.5000 0.5000 0.0000  4 Cu 2.71, 4 Mg 2.82
Mg 0.5000 0.1806 0.3612  6 Cu 2.72-2.83, 4 Mg 2.94
Mg 0.5000 0.8194 0.6388  6 Cu 2.72-2.83, 4 Mg 2.94

Density functional theory data (SCAN) for a crystal of MgCu relaxed with PBEsol.

Results
Theoretical density, g/cm3: 4.7
Uncorrected energy, Ry/atom: -0.7478
DOS at the Fermi energy, states/eV/f.u.: 0.696

Lattice parameters (Å, degrees): 2.9679 4.1861 5.2086 90.00 106.55 90.00
Closest atoms and distances in Å follow each position.
Sites, in units of the cell vectors:
Mg 0.8420 0.7500 0.6841  7 Cu 2.69-2.75, 2 Mg 2.97
Mg 0.1580 0.2500 0.3159  7 Cu 2.69-2.75, 2 Mg 2.97
Cu 0.5669 0.7500 0.1339  2 Cu 2.48, 7 Mg 2.69-2.75
Cu 0.4331 0.2500 0.8661  2 Cu 2.48, 7 Mg 2.69-2.75

Density functional theory data (SCAN) for a crystal of MgCu relaxed with PBEsol.

Results
Theoretical density, g/cm3: 4.8
Uncorrected energy, Ry/atom: -0.7494
DOS at the Fermi energy, states/eV/f.u.: 0.582

Lattice parameters (Å, degrees): 3.0763 4.3666 5.2204 114.72 107.14 90.00
Closest atoms and distances in Å follow each position.
Sites, in units of the cell vectors:
Mg 0.3916 0.1416 0.7833  6 Cu 2.69-2.74, 4 Mg 2.92-2.97
Mg 0.6084 0.8584 0.2167  6 Cu 2.69-2.74, 4 Mg 2.92-2.97
Cu 0.8555 0.6055 0.7110  2 Cu 2.44, 4 Mg 2.69
Cu 0.1445 0.3945 0.2890  2 Cu 2.44, 4 Mg 2.69

Density functional theory data (SCAN) for a crystal of MgCu relaxed with PBEsol.

Results
Theoretical density, g/cm3: 4.7
Uncorrected energy, Ry/atom: -0.7459
DOS at the Fermi energy, states/eV/f.u.: 0.684

Lattice parameters (Å, degrees): 5.3526 7.7216 8.9688 90.00 90.00 90.00
Closest atoms and distances in Å follow each position.
Sites, in units of the cell vectors:
Cu 0.7500 0.8786 0.1306  2 Cu 2.47, 7 Mg 2.59-2.77
Cu 0.2500 0.1214 0.8694  2 Cu 2.47, 7 Mg 2.59-2.77
Cu 0.7500 0.3786 0.8694  2 Cu 2.47, 7 Mg 2.59-2.77
Cu 0.2500 0.6214 0.1306  2 Cu 2.47, 7 Mg 2.59-2.77
Cu 0.7500 0.4544 0.4260  9 Mg 2.65-2.92
Cu 0.2500 0.5456 0.5740  9 Mg 2.65-2.92
Cu 0.7500 0.9544 0.5740  9 Mg 2.65-2.92
Cu 0.2500 0.0456 0.4260  9 Mg 2.65-2.92
Cu 0.0000 0.2500 0.0730  4 Cu 2.47-2.68, 4 Mg 2.64-2.75
Cu 0.5000 0.7500 0.9270  4 Cu 2.47-2.68, 4 Mg 2.64-2.75
Cu 0.0000 0.7500 0.9270  4 Cu 2.47-2.68, 4 Mg 2.64-2.75
Cu 0.5000 0.2500 0.0730  4 Cu 2.47-2.68, 4 Mg 2.64-2.75
Mg 0.7500 0.5378 0.1300  9 Cu 2.63-2.79
Mg 0.2500 0.4622 0.8700  9 Cu 2.63-2.79
Mg 0.7500 0.0378 0.8700  9 Cu 2.63-2.79
Mg 0.2500 0.9622 0.1300  9 Cu 2.63-2.79
Mg 0.7500 0.1315 0.3204  5 Cu 2.59-2.75
Mg 0.2500 0.8685 0.6796  5 Cu 2.59-2.75
Mg 0.7500 0.6315 0.6796  5 Cu 2.59-2.75
Mg 0.2500 0.3685 0.3204  5 Cu 2.59-2.75
Mg 0.0000 0.2500 0.6229  2 Mg 2.68, 6 Cu 2.68-2.77
Mg 0.5000 0.7500 0.3771  2 Mg 2.68, 6 Cu 2.68-2.77
Mg 0.0000 0.7500 0.3771  2 Mg 2.68, 6 Cu 2.68-2.77
Mg 0.5000 0.2500 0.6229  2 Mg 2.68, 6 Cu 2.68-2.77

Density functional theory data (SCAN) for a crystal of MgCu3 relaxed with PBEsol.

Results
Theoretical density, g/cm3: 7.0
Uncorrected energy, Ry/atom: -0.9296
DOS at the Fermi energy, states/eV/f.u.: 1.305

Lattice parameters (Å, degrees): 2.7604 4.3895 4.5632 103.42 107.61 90.00
Closest atoms and distances in Å follow each position.
Sites, in units of the cell vectors:
Mg 0.0000 0.5000 0.0000  10 Cu 2.59-2.66, 2 Mg 2.76
Cu 0.2406 0.2347 0.4812  9 Cu 2.51-2.76, 3 Mg 2.63-2.66
Cu 0.7594 0.7653 0.5188  9 Cu 2.51-2.76, 3 Mg 2.63-2.66
Cu 0.5000 0.0000 0.0000  8 Cu 2.51-2.76, 4 Mg 2.59

Density functional theory data (SCAN) for a crystal of Mg5Cu24 relaxed with PBEsol.

Results
Theoretical density, g/cm3: 7.6
Uncorrected energy, Ry/atom: -0.9900
DOS at the Fermi energy, states/eV/f.u.: 8.987

Lattice parameters (Å, degrees): 7.7567 7.7567 7.7567 109.47 109.47 109.47
Closest atoms and distances in Å follow each position.
Sites, in units of the cell vectors:
Cu 0.6214 0.8126 0.6214  8 Cu 2.35-2.62
Cu 0.8088 0.1874 0.8088  8 Cu 2.35-2.62
Cu 0.1912 0.0000 0.3786  8 Cu 2.35-2.62
Cu 0.3786 0.0000 0.1912  8 Cu 2.35-2.62
Cu 0.8126 0.6214 0.6214  8 Cu 2.35-2.62
Cu 0.1874 0.8088 0.8088  8 Cu 2.35-2.62
Cu 0.0000 0.3786 0.1912  8 Cu 2.35-2.62
Cu 0.0000 0.1912 0.3786  8 Cu 2.35-2.62
Cu 0.6214 0.6214 0.8126  8 Cu 2.35-2.62
Cu 0.8088 0.8088 0.1874  8 Cu 2.35-2.62
Cu 0.3786 0.1912 0.0000  8 Cu 2.35-2.62
Cu 0.1912 0.3786 0.0000  8 Cu 2.35-2.62
Cu 0.5966 0.2736 0.5966  7 Cu 2.35-2.62, 1 Mg 2.53
Cu 0.3230 0.7264 0.3230  7 Cu 2.35-2.62, 1 Mg 2.53
Cu 0.6770 0.0000 0.4034  7 Cu 2.35-2.62, 1 Mg 2.53
Cu 0.4034 0.0000 0.6770  7 Cu 2.35-2.62, 1 Mg 2.53
Cu 0.2736 0.5966 0.5966  7 Cu 2.35-2.62, 1 Mg 2.53
Cu 0.7264 0.3230 0.3230  7 Cu 2.35-2.62, 1 Mg 2.53
Cu 0.0000 0.4034 0.6770  7 Cu 2.35-2.62, 1 Mg 2.53
Cu 0.0000 0.6770 0.4034  7 Cu 2.35-2.62, 1 Mg 2.53
Cu 0.5966 0.5966 0.2736  7 Cu 2.35-2.62, 1 Mg 2.53
Cu 0.3230 0.3230 0.7264  7 Cu 2.35-2.62, 1 Mg 2.53
Cu 0.4034 0.6770 0.0000  7 Cu 2.35-2.62, 1 Mg 2.53
Cu 0.6770 0.4034 0.0000  7 Cu 2.35-2.62, 1 Mg 2.53
Mg 0.3711 0.3711 0.3711  12 Cu 2.53-2.81
Mg 0.0000 0.6289 0.0000  12 Cu 2.53-2.81
Mg 0.0000 0.0000 0.6289  12 Cu 2.53-2.81
Mg 0.6289 0.0000 0.0000  12 Cu 2.53-2.81
Mg 0.0000 0.0000 0.0000  12 Cu 2.81, 4 Mg 2.88

Density functional theory data (SCAN) for a crystal of MgCu relaxed with PBEsol.

Results
Theoretical density, g/cm3: 4.7
Uncorrected energy, Ry/atom: -0.7460
DOS at the Fermi energy, states/eV/f.u.: 0.582

Lattice parameters (Å, degrees): 3.0572 3.0572 6.6840 90.00 90.00 90.00
Closest atoms and distances in Å follow each position.
Sites, in units of the cell vectors:
Mg 0.5000 0.0000 0.6727  5 Cu 2.69-2.78
Mg 0.0000 0.5000 0.3273  5 Cu 2.69-2.78
Cu 0.5000 0.0000 0.0886  4 Cu 2.46, 4 Mg 2.69
Cu 0.0000 0.5000 0.9114  4 Cu 2.46, 4 Mg 2.69

Please write out number 12 again, unchanged.
Density functional theory data (SCAN) for a crystal of MgCu relaxed with PBEsol.

Results
Theoretical density, g/cm3: 4.7
Uncorrected energy, Ry/atom: -0.7460
DOS at the Fermi energy, states/eV/f.u.: 0.582

Lattice parameters (Å, degrees): 3.0572 3.0572 6.6840 90.00 90.00 90.00
Closest atoms and distances in Å follow each position.
Sites, in units of the cell vectors:
Mg 0.5000 0.0000 0.6727  5 Cu 2.69-2.78
Mg 0.0000 0.5000 0.3273  5 Cu 2.69-2.78
Cu 0.5000 0.0000 0.0886  4 Cu 2.46, 4 Mg 2.69
Cu 0.0000 0.5000 0.9114  4 Cu 2.46, 4 Mg 2.69